# 1
Computed, not measured: a relaxed Li3Pr2NpS6 crystal at the GGA-PBE level of DFT.

The uncorrected formation energy comes out at -1.6125 eV per atom.

The space group is C2/m (No. 12) and the conventional cell measures 7.0084, 12.1649 and 6.6215 Å, with angles of 90.00, 110.42 and 90.00 degrees. The inequivalent atoms are Li at (0.0000, 0.0000, 0.0000), Li at (0.0000, 0.3423, 0.0000), Pr at (0.0000, 0.1674, 0.5000), Np at (0.0000, 0.5000, 0.5000), S at (0.2406, 0.5000, 0.2452) and S at (0.2467, 0.3382, 0.7572).


# 2
Computed, not measured: a relaxed LiPr2NpS5 crystal at the GGA-PBE level of DFT.

The uncorrected formation energy comes out at -1.7039 eV per atom.

The space group is Cmc2_1 (No. 36) and the conventional cell measures 4.0211, 16.6057 and 11.9233 Å, with angles of 90.00, 90.00 and 90.00 degrees. The inequivalent atoms are Li at (0.0000, 0.0178, 0.0000), Pr at (0.0000, 0.3749, 0.8220), Pr at (0.0000, 0.3912, 0.2085), Np at (0.0000, 0.3001, 0.5268), S at (0.0000, 0.0003, 0.3033), S at (0.0000, 0.1351, 0.5219), S at (0.0000, 0.1914, 0.8709), S at (0.0000, 0.2118, 0.1823) and S at (0.0000, 0.4518, 0.5895).


# 3
Computed, not measured: a relaxed LiPr2NpS6 crystal at the GGA-PBE level of DFT.

The uncorrected formation energy comes out at -1.6077 eV per atom.

The space group is P2_1/c (No. 14) and the conventional cell measures 6.6060, 7.2905 and 11.4169 Å, with angles of 90.00, 122.54 and 90.00 degrees. The inequivalent atoms are Li at (0.0000, 0.0000, 0.0000), Pr at (0.2041, 0.0971, 0.7433), Np at (0.5000, 0.0000, 0.5000), S at (0.1221, 0.1839, 0.4408), S at (0.2566, 0.6925, 0.4327) and S at (0.3809, 0.0416, 0.2468).


# 4
Computed, not measured: a relaxed Li3PrNp2S6 crystal at the GGA-PBE level of DFT.

The uncorrected formation energy comes out at -1.4857 eV per atom.

The space group is C2/m (No. 12) and the conventional cell measures 6.8992, 11.9557 and 6.5840 Å, with angles of 90.00, 110.44 and 90.00 degrees. The inequivalent atoms are Li at (0.0000, 0.0000, 0.0000), Li at (0.0000, 0.3298, 0.0000), Pr at (0.0000, 0.5000, 0.5000), Np at (0.0000, 0.1662, 0.5000), S at (0.2401, 0.0000, 0.7573) and S at (0.2429, 0.1730, 0.2469).


# 5
Computed, not measured: a relaxed LiPr3Np3S8 crystal at the GGA-PBE level of DFT.

The uncorrected formation energy comes out at -1.6434 eV per atom.

The space group is R-3m (No. 166, hexagonal axes) and the conventional cell measures 7.9262, 7.9262 and 19.6411 Å, with angles of 90.00, 90.00 and 120.00 degrees. The inequivalent atoms are Li at (0.0000, 0.0000, 0.0000), Pr at (0.0000, 0.5000, 0.5000), Np at (0.0000, 0.5000, 0.0000), S at (0.0000, 0.0000, 0.2553) and S at (0.0005, 0.5003, 0.7440).


# 6
Computed, not measured: a relaxed Li4Pr3NpS8 crystal at the GGA-PBE level of DFT.

The uncorrected formation energy comes out at -1.6485 eV per atom.

The space group is R-3m (No. 166, hexagonal axes) and the conventional cell measures 8.1219, 8.1219 and 18.6361 Å, with angles of 90.00, 90.00 and 120.00 degrees. The inequivalent atoms are Li at (0.0000, 0.0000, 0.0000), Li at (0.0000, 0.5000, 0.0000), Pr at (0.0000, 0.5000, 0.5000), Np at (0.0000, 0.0000, 0.5000), S at (0.0000, 0.0000, 0.2533) and S at (0.0080, 0.5040, 0.2519).


# 7
Computed, not measured: a relaxed LiPr2NpSe4 crystal at the GGA-PBE level of DFT.

The uncorrected formation energy comes out at -1.5459 eV per atom.

The space group is P2/m (No. 10) and the conventional cell measures 7.2110, 4.1810 and 7.2275 Å, with angles of 90.00, 109.77 and 90.00 degrees. The inequivalent atoms are Li at (0.0000, 0.0000, 0.0000), Pr at (0.5000, 0.0000, 0.5000), Pr at (0.5000, 0.5000, 0.0000), Np at (0.0000, 0.5000, 0.5000), Se at (0.2344, 0.0000, 0.7488) and Se at (0.2339, 0.5000, 0.2401).


# 8
Computed, not measured: a relaxed Li4Pr3NpSe8 crystal at the GGA-PBE level of DFT.

The uncorrected formation energy comes out at -1.5281 eV per atom.

The space group is R-3m (No. 166, hexagonal axes) and the conventional cell measures 8.4280, 8.4280 and 19.5763 Å, with angles of 90.00, 90.00 and 120.00 degrees. The inequivalent atoms are Li at (0.0000, 0.0000, 0.0000), Li at (0.0000, 0.5000, 0.0000), Pr at (0.0000, 0.5000, 0.5000), Np at (0.0000, 0.0000, 0.5000), Se at (0.0000, 0.0000, 0.2542) and Se at (0.0060, 0.5030, 0.2530).


# 9
Computed, not measured: a relaxed Li3PrNp2Se6 crystal at the GGA-PBE level of DFT.

The uncorrected formation energy comes out at -1.3381 eV per atom.

The space group is C2/m (No. 12) and the conventional cell measures 7.1805, 12.4349 and 6.9277 Å, with angles of 90.00, 110.25 and 90.00 degrees. The inequivalent atoms are Li at (0.0000, 0.0000, 0.0000), Li at (0.0000, 0.3331, 0.0000), Pr at (0.0000, 0.5000, 0.5000), Np at (0.0000, 0.1664, 0.5000), Se at (0.2427, 0.1716, 0.2430) and Se at (0.2442, 0.0000, 0.7602).


# 10
Computed, not measured: a relaxed Li2PrNpSe4 crystal at the GGA-PBE level of DFT.

The uncorrected formation energy comes out at -1.4109 eV per atom.

The space group is P2/m (No. 10) and the conventional cell measures 6.9464, 4.1777 and 7.2473 Å, with angles of 90.00, 110.47 and 90.00 degrees. The inequivalent atoms are Li at (0.0000, 0.0000, 0.0000), Li at (0.0000, 0.5000, 0.5000), Pr at (0.5000, 0.0000, 0.5000), Np at (0.5000, 0.5000, 0.0000), Se at (0.2385, 0.5000, 0.2400) and Se at (0.2441, 0.0000, 0.7549).


# 11
Computed, not measured: a relaxed LiPr2NpTe4 crystal at the GGA-PBE level of DFT.

The uncorrected formation energy comes out at -1.1513 eV per atom.

The space group is P2/m (No. 10) and the conventional cell measures 7.7057, 4.4469 and 7.7219 Å, with angles of 90.00, 109.60 and 90.00 degrees. The inequivalent atoms are Li at (0.0000, 0.0000, 0.0000), Pr at (0.5000, 0.0000, 0.5000), Pr at (0.5000, 0.5000, 0.0000), Np at (0.0000, 0.5000, 0.5000), Te at (0.2340, 0.5000, 0.2389) and Te at (0.2365, 0.0000, 0.7507).


# 12
Computed, not measured: a relaxed Li3Pr2NpTe6 crystal at the GGA-PBE level of DFT.

The uncorrected formation energy comes out at -1.1193 eV per atom.

The space group is C2/m (No. 12) and the conventional cell measures 7.7367, 13.3814 and 7.5368 Å, with angles of 90.00, 109.92 and 90.00 degrees. The inequivalent atoms are Li at (0.0000, 0.0000, 0.0000), Li at (0.0000, 0.3313, 0.0000), Pr at (0.0000, 0.1659, 0.5000), Np at (0.0000, 0.5000, 0.5000), Te at (0.2404, 0.5000, 0.2381) and Te at (0.2486, 0.1639, 0.2375).


# 13
Computed, not measured: a relaxed Li2PrNpTe4 crystal at the GGA-PBE level of DFT.

The uncorrected formation energy comes out at -1.0343 eV per atom.

The space group is P2/m (No. 10) and the conventional cell measures 7.5165, 4.4421 and 7.7130 Å, with angles of 90.00, 110.08 and 90.00 degrees. The inequivalent atoms are Li at (0.0000, 0.0000, 0.0000), Li at (0.0000, 0.5000, 0.5000), Pr at (0.5000, 0.0000, 0.5000), Np at (0.5000, 0.5000, 0.0000), Te at (0.2365, 0.5000, 0.2408) and Te at (0.2414, 0.0000, 0.7524).


# 14
Computed, not measured: a relaxed LiPrNp2Te4 crystal at the GGA-PBE level of DFT.

The uncorrected formation energy comes out at -0.8817 eV per atom.

The space group is P2/m (No. 10) and the conventional cell measures 7.6715, 4.4149 and 7.7206 Å, with angles of 90.00, 109.62 and 90.00 degrees. The inequivalent atoms are Li at (0.0000, 0.0000, 0.0000), Pr at (0.0000, 0.5000, 0.5000), Np at (0.5000, 0.0000, 0.5000), Np at (0.5000, 0.5000, 0.0000), Te at (0.2453, 0.5000, 0.2413) and Te at (0.2520, 0.0000, 0.7606).


# 15
Computed, not measured: a relaxed Li3PrNp2Te6 crystal at the GGA-PBE level of DFT.

The uncorrected formation energy comes out at -0.9516 eV per atom.

The space group is C2/m (No. 12) and the conventional cell measures 7.6558, 13.2569 and 7.5092 Å, with angles of 90.00, 109.88 and 90.00 degrees. The inequivalent atoms are Li at (0.0000, 0.0000, 0.0000), Li at (0.0000, 0.3354, 0.0000), Pr at (0.0000, 0.5000, 0.5000), Np at (0.0000, 0.1667, 0.5000), Te at (0.2430, 0.1703, 0.2402) and Te at (0.2467, 0.0000, 0.7614).


# 16
Computed, not measured: a relaxed LiNpPt4 crystal at the GGA-PBE level of DFT.

The calculated formation energy is -3.60 eV/f.u.

The space group is F-43m (No. 216) and the conventional cell measures 7.5645, 7.5645 and 7.5645 Å, with angles of 90.00, 90.00 and 90.00 degrees. The inequivalent atoms are Li at (0.0000, 0.0000, 0.0000), Np at (0.2500, 0.2500, 0.2500) and Pt at (0.1255, 0.1255, 0.6255).


# 17
Computed, not measured: a relaxed LiNpPt crystal at the GGA-PBE level of DFT.

The calculated formation energy is -0.57 eV/f.u.

The space group is Fmmm (No. 69) and the conventional cell measures 4.6573, 8.1244 and 10.6727 Å, with angles of 90.00, 90.00 and 90.00 degrees. The inequivalent atoms are Li at (0.2500, 0.2500, 0.2500), Np at (0.0000, 0.1633, 0.0000) and Pt at (0.0000, 0.0000, 0.3615).


# 18
Computed, not measured: a relaxed LiNp2Pt9 crystal at the GGA-PBE level of DFT.

The calculated formation energy is -6.48 eV/f.u.

The space group is P4/mmm (No. 123) and the conventional cell measures 4.0950, 4.0950 and 12.0538 Å, with angles of 90.00, 90.00 and 90.00 degrees. The inequivalent atoms are Li at (0.0000, 0.0000, 0.0000), Np at (0.0000, 0.0000, 0.3218), Pt at (0.0000, 0.5000, 0.1547), Pt at (0.0000, 0.5000, 0.5000), Pt at (0.5000, 0.5000, 0.0000) and Pt at (0.5000, 0.5000, 0.3291).


# 19
Computed, not measured: a relaxed LiPuNpPt crystal at the GGA-PBE level of DFT.

The calculated formation energy is -0.85 eV/f.u.

The space group is F-43m (No. 216) and the conventional cell measures 6.6885, 6.6885 and 6.6885 Å, with angles of 90.00, 90.00 and 90.00 degrees. The inequivalent atoms are Li at (0.0000, 0.0000, 0.0000), Pu at (0.2500, 0.2500, 0.7500), Np at (0.0000, 0.0000, 0.5000) and Pt at (0.2500, 0.2500, 0.2500).


# 20
Computed, not measured: a relaxed LiNpRuPt crystal at the GGA-PBE level of DFT.

The calculated formation energy is -1.05 eV/f.u.

The space group is F-43m (No. 216) and the conventional cell measures 6.4666, 6.4666 and 6.4666 Å, with angles of 90.00, 90.00 and 90.00 degrees. The inequivalent atoms are Li at (0.0000, 0.0000, 0.0000), Np at (0.0000, 0.0000, 0.5000), Ru at (0.2500, 0.2500, 0.7500) and Pt at (0.2500, 0.2500, 0.2500).


# 21
Computed, not measured: a relaxed Li3Np2PtS6 crystal at the GGA-PBE level of DFT.

The uncorrected formation energy comes out at -1.0962 eV per atom.

The space group is C2/m (No. 12) and the conventional cell measures 6.4326, 11.2366 and 6.5925 Å, with angles of 90.00, 108.09 and 90.00 degrees. The inequivalent atoms are Li at (0.0000, 0.0000, 0.0000), Li at (0.0000, 0.3381, 0.0000), Np at (0.0000, 0.1698, 0.5000), Pt at (0.0000, 0.5000, 0.5000), S at (0.2318, 0.5000, 0.2630) and S at (0.2467, 0.1651, 0.2408).